# 1
CdNiAsSe2: relaxed, GGA-PBE.

Structure (POSCAR):
```
CdNiAsSe2
1.0
5.022 0.000 0.000
0.000 5.022 0.000
0.000 0.000 4.341
Cd Ni As Se
1 1 1 2
Direct
0.000 0.000 0.000 Cd
0.500 0.500 0.500 Ni
0.500 0.500 0.000 As
0.000 0.500 0.500 Se
0.500 0.000 0.500 Se
```

Properties
space-group type = No. 123
total DFT energy (no corrections) = -17.18 eV for the cell shown
spin magnetization = 0.000 μB per atom
offset from the most stable computed form = 0.0 kJ/mol of atoms
ΔE_f (raw) = 0.227 eV/atom

---

# 2
Ca2BeSnPt6: relaxed, GGA-PBE.

Structure (POSCAR):
```
Ca2BeSnPt6
1.0
2.906 1.678 6.703
-2.906 1.678 6.703
0.000 -3.355 6.703
Ca Be Sn Pt
2 1 1 6
Direct
0.223 0.223 0.223 Ca
0.777 0.777 0.777 Ca
0.000 0.000 0.000 Be
0.500 0.500 0.500 Sn
0.236 0.236 0.712 Pt
0.236 0.712 0.236 Pt
0.288 0.764 0.764 Pt
0.712 0.236 0.236 Pt
0.764 0.288 0.764 Pt
0.764 0.764 0.288 Pt
```

Properties
space-group type = No. 166
total DFT energy (no corrections) = -54.20 eV for the cell shown
formation energy from the elements = -0.622 eV per atom
spin magnetization = 0.000 μB per atom

---

# 3
Ni2BiSe3: relaxed, GGA-PBE.

Structure (POSCAR):
```
Ni2BiSe3
1.0
7.292 0.000 0.000
-3.646 6.315 0.000
0.000 0.000 5.278
Ni Bi Se
4 2 6
Direct
0.000 0.000 0.000 Ni
0.000 0.500 0.000 Ni
0.500 0.000 0.000 Ni
0.500 0.500 0.000 Ni
0.333 0.667 0.660 Bi
0.667 0.333 0.340 Bi
0.173 0.346 0.223 Se
0.173 0.827 0.223 Se
0.346 0.173 0.777 Se
0.654 0.827 0.223 Se
0.827 0.173 0.777 Se
0.827 0.654 0.777 Se
```

Properties
space-group type = No. 164
total DFT energy (no corrections) = -54.87 eV for the cell shown
spin magnetization = 0.000 μB per atom
offset from the most stable computed form = 0.0 kJ/mol of atoms
ΔE_f (raw) = -0.257 eV/atom

---

# 4
BaTa6Se12: relaxed, GGA-PBE.

Structure (POSCAR):
```
BaTa6Se12
1.0
6.283 3.627 2.960
-6.283 3.627 2.960
0.000 -7.255 2.960
Ba Ta Se
1 6 12
Direct
0.000 0.000 0.000 Ba
0.293 0.293 0.692 Ta
0.293 0.692 0.293 Ta
0.308 0.707 0.707 Ta
0.692 0.293 0.293 Ta
0.707 0.308 0.707 Ta
0.707 0.707 0.308 Ta
0.120 0.500 0.880 Se
0.120 0.880 0.500 Se
0.131 0.399 0.399 Se
0.399 0.131 0.399 Se
0.399 0.399 0.131 Se
0.500 0.120 0.880 Se
0.500 0.880 0.120 Se
0.601 0.601 0.869 Se
0.601 0.869 0.601 Se
0.869 0.601 0.601 Se
0.880 0.120 0.500 Se
0.880 0.500 0.120 Se
```

Properties
space-group type = No. 166
total DFT energy (no corrections) = -123.45 eV for the cell shown
spin magnetization = 0.000 μB per atom
ΔE_f (raw) = -0.452 eV/atom

---

# 5
PH2F: relaxed, GGA-PBE.

Structure (POSCAR):
```
PH2F
1.0
0.000 2.484 2.484
2.484 0.000 2.484
2.484 2.484 0.000
P H F
1 2 1
Direct
0.000 0.000 0.000 P
0.250 0.250 0.250 H
0.750 0.750 0.750 H
0.500 0.500 0.500 F
```

Properties
space-group type = No. 225
total DFT energy (no corrections) = -11.37 eV for the cell shown
spin magnetization = 0.000 μB per atom
offset from the most stable computed form = 135.4 kJ/mol of atoms

---

# 6
Ag3Se2Cl2: relaxed, GGA-PBE.

Structure (POSCAR):
```
Ag3Se2Cl2
1.0
3.899 0.000 0.000
0.022 6.348 0.000
1.942 2.665 6.822
Ag Se Cl
3 2 2
Direct
0.000 0.000 0.000 Ag
0.314 0.326 0.381 Ag
0.686 0.674 0.619 Ag
0.064 0.673 0.868 Se
0.936 0.327 0.132 Se
0.321 0.784 0.347 Cl
0.679 0.216 0.653 Cl
```

Properties
space-group type = No. 2
total DFT energy (no corrections) = -21.02 eV for the cell shown
spin magnetization = 0.000 μB per atom
ΔE_f (raw) = -0.258 eV/atom

---

Q: Which value of spin magnetization does entry 1 give?
A: 0.000 μB per atom

---

Q: Among the records above, which one has the lowest total DFT energy (no corrections)?
A: BaTa6Se12

---

Q: What is the spin magnetization in the fifth record?
A: 0.000 μB per atom

---

Q: What is the spin magnetization in the fifth record?
A: 0.000 μB per atom